[1]
VASP calculation (PBE-GGA) on a geometry-optimized Sm10Dy4Sc structure.

Computed properties:
SG = I4/m, No. 87
Energy relative to the elements = 347 meV/atom
Theoretical density = 7.300 g/cm3

a b c (Å): 8.670 8.670 8.670
angles (deg): 111.30 111.30 105.87
Fractional positions:
Sm 0.047 0.372 0.098
Sm 0.051 0.953 0.325
Sm 0.250 0.750 0.500
Sm 0.274 0.949 0.902
Sm 0.372 0.274 0.325
Sm 0.628 0.726 0.675
Sm 0.726 0.051 0.098
Sm 0.750 0.250 0.500
Sm 0.949 0.047 0.675
Sm 0.953 0.628 0.902
Dy 0.176 0.440 0.616
Dy 0.440 0.824 0.265
Dy 0.560 0.176 0.735
Dy 0.824 0.560 0.384
Sc 0.500 0.500 0.000


[2]
VASP calculation (PBE-GGA) on a geometry-optimized Sc2PdCl structure.

Computed properties:
Energy relative to the lowest polymorph listed for this composition = 253 meV per atom
SG = I-42d, No. 122
E_form (uncorrected) = -0.70 eV/atom
Theoretical density = 4.498 g/cm3

a b c (Å): 6.061 6.061 6.061
angles (deg): 110.84 110.84 106.77
Fractional positions:
Sc 0.120 0.625 0.995
Sc 0.375 0.370 0.495
Sc 0.630 0.125 0.005
Sc 0.875 0.880 0.505
Pd 0.250 0.750 0.500
Pd 0.500 0.500 0.000
Cl 0.000 0.000 0.000
Cl 0.750 0.250 0.500


[3]
VASP calculation (PBE-GGA) on a geometry-optimized LaThRhI structure.

Computed properties:
SG = R3m, No. 160
E_form (uncorrected) = -0.93 eV/atom
Theoretical density = 7.811 g/cm3

a b c (Å): 8.650 8.650 8.650
angles (deg): 28.20 28.20 28.20
Fractional positions:
La 0.000 0.000 0.000
Th 0.212 0.212 0.212
Rh 0.600 0.600 0.600
I 0.773 0.773 0.773


[4]
VASP calculation (PBE-GGA) on a geometry-optimized ZrPaPd structure.

Computed properties:
Energy relative to the lowest polymorph listed for this composition = 238 meV per atom
SG = P3m1, No. 156
Energy relative to the elements = -104 meV/atom
Theoretical density = 11.241 g/cm3

a b c (Å): 4.866 4.866 3.088
angles (deg): 90.00 90.00 120.00
Fractional positions:
Zr 0.000 0.000 0.000
Pa 0.667 0.333 0.407
Pd 0.333 0.667 0.624


[5]
VASP calculation (PBE-GGA) on a geometry-optimized AlSN2 structure.

Computed properties:
Energy relative to the lowest polymorph listed for this composition = 1452 meV per atom
SG = Fm-3m, No. 225
E_form (uncorrected) = 1.49 eV/atom
Theoretical density = 3.724 g/cm3

a b c (Å): 3.801 3.801 3.801
angles (deg): 60.00 60.00 60.00
Fractional positions:
Al 0.000 0.000 0.000
S 0.500 0.500 0.500
N 0.250 0.250 0.250
N 0.750 0.750 0.750


[6]
VASP calculation (PBE-GGA) on a geometry-optimized ErZr2Tl structure.

Computed properties:
Energy relative to the lowest polymorph listed for this composition = 209 meV per atom
SG = R3m, No. 160
Energy relative to the elements = 53 meV/atom
Theoretical density = 9.138 g/cm3

a b c (Å): 10.579 10.579 10.579
angles (deg): 18.19 18.19 18.19
Fractional positions:
Er 0.000 0.000 0.000
Zr 0.582 0.582 0.582
Zr 0.752 0.752 0.752
Tl 0.167 0.167 0.167


[7]
VASP calculation (PBE-GGA) on a geometry-optimized Sc3AlN structure.

Computed properties:
SG = Immm, No. 71
E_form (uncorrected) = -0.79 eV/atom
Theoretical density = 3.124 g/cm3

a b c (Å): 7.925 7.925 7.925
angles (deg): 157.22 100.23 84.29
Fractional positions:
Sc 0.148 0.148 0.000
Sc 0.206 0.854 0.352
Sc 0.498 0.146 0.352
Sc 0.502 0.854 0.648
Sc 0.794 0.146 0.648
Sc 0.852 0.852 0.000
Al 0.174 0.500 0.674
Al 0.826 0.500 0.326
N 0.329 0.329 0.000
N 0.671 0.671 0.000


[8]
VASP calculation (PBE-GGA) on a geometry-optimized Nd8Dy5Er structure.

Computed properties:
SG = P1, No. 1
Energy relative to the elements = 170 meV/atom
Theoretical density = 7.358 g/cm3

a b c (Å): 8.594 8.598 8.665
angles (deg): 114.27 116.20 98.06
Fractional positions:
Nd 0.000 0.000 0.000
Nd 0.002 0.317 0.430
Nd 0.130 0.655 0.950
Nd 0.269 0.056 0.490
Nd 0.397 0.816 0.766
Nd 0.451 0.447 0.010
Nd 0.564 0.875 0.440
Nd 0.615 0.506 0.674
Dy 0.222 0.479 0.257
Dy 0.507 0.162 0.220
Dy 0.742 0.267 0.956
Dy 0.786 0.840 0.183
Dy 0.876 0.662 0.484
Er 0.004 0.161 0.720


[9]
VASP calculation (PBE-GGA) on a geometry-optimized Y2CuPtC structure.

Computed properties:
SG = P4/mmm, No. 123
Energy relative to the elements = -522 meV/atom
Theoretical density = 8.118 g/cm3

a b c (Å): 4.935 4.935 3.766
angles (deg): 90.00 90.00 90.00
Fractional positions:
Y 0.000 0.500 0.000
Y 0.500 0.000 0.000
Cu 0.000 0.000 0.500
Pt 0.500 0.500 0.500
C 0.000 0.000 0.000


[10]
VASP calculation (PBE-GGA) on a geometry-optimized LaGa2ReBi structure.

Computed properties:
SG = P4/mmm, No. 123
Energy relative to the elements = 1028 meV/atom
Theoretical density = 7.602 g/cm3

a b c (Å): 5.341 5.341 5.158
angles (deg): 90.00 90.00 90.00
Fractional positions:
La 0.000 0.000 0.000
Ga 0.000 0.500 0.500
Ga 0.500 0.000 0.500
Re 0.500 0.500 0.000
Bi 0.500 0.500 0.500


[11]
VASP calculation (PBE-GGA) on a geometry-optimized Li5TbPb6 structure.

Computed properties:
SG = P2/m, No. 10
Energy relative to the elements = -305 meV/atom
Theoretical density = 8.326 g/cm3

a b c (Å): 5.177 7.109 8.109
angles (deg): 90.00 106.25 90.00
Fractional positions:
Li 0.000 0.000 0.000
Li 0.285 0.000 0.661
Li 0.315 0.500 0.678
Li 0.685 0.500 0.322
Li 0.715 0.000 0.339
Tb 0.000 0.500 0.000
Pb 0.205 0.245 0.348
Pb 0.205 0.755 0.348
Pb 0.500 0.228 0.000
Pb 0.500 0.772 0.000
Pb 0.795 0.245 0.652
Pb 0.795 0.755 0.652


[12]
VASP calculation (PBE-GGA) on a geometry-optimized PrNd5Tl6 structure.

Computed properties:
SG = P2/m, No. 10
Energy relative to the elements = -391 meV/atom
Theoretical density = 9.658 g/cm3

a b c (Å): 5.549 7.770 8.760
angles (deg): 90.00 108.09 90.00
Fractional positions:
Pr 0.000 0.000 0.000
Nd 0.000 0.500 0.000
Nd 0.333 0.000 0.666
Nd 0.334 0.500 0.668
Nd 0.666 0.500 0.332
Nd 0.667 0.000 0.334
Tl 0.167 0.251 0.335
Tl 0.167 0.749 0.335
Tl 0.500 0.251 0.000
Tl 0.500 0.749 0.000
Tl 0.833 0.251 0.665
Tl 0.833 0.749 0.665


[13]
VASP calculation (PBE-GGA) on a geometry-optimized YZrH2Os structure.

Computed properties:
E_tot = -5.8602 eV per atom
SG = P4/mmm, No. 123
Theoretical density = 7.574 g/cm3

a b c (Å): 4.042 4.042 4.998
angles (deg): 90.00 90.00 90.00
Fractional positions:
Y 0.000 0.000 0.000
Zr 0.500 0.500 0.000
H 0.000 0.500 0.500
H 0.500 0.000 0.500
Os 0.500 0.500 0.500